CaRh2W | PBE | relaxed

Total DFT energy (no corrections): -0.5222 Ry/atom
E_form: 310 meV per atom
Theoretical density: 10.1 g/cm3
Energy above the most stable polymorph in this dataset: 459.8 meV per atom
Fermi-level density of states: 5.20 states/eV/f.u.

Structure (CIF):
```
data_CaRh2W
_space_group_name_H-M_alt 'P 4 m m'
_space_group_IT_number 99
_cell_length_a 2.871
_cell_length_b 2.871
_cell_length_c 8.549
_cell_angle_alpha 90.00
_cell_angle_beta 90.00
_cell_angle_gamma 90.00
loop_
_space_group_symop_operation_xyz
'x,y,z'
'-y,x,z'
'-x,-y,z'
'y,-x,z'
'-x,y,z'
'y,x,z'
'x,-y,z'
'-y,-x,z'
loop_
_atom_site_label
_atom_site_type_symbol
_atom_site_fract_x
_atom_site_fract_y
_atom_site_fract_z
Ca1 Ca 0.000 0.000 0.000
Rh1 Rh 0.000 0.000 0.481
Rh2 Rh 0.500 0.500 0.250
W1 W 0.500 0.500 0.680
```